Record 1
K2Nd2PbO6: optimized geometry, PBE.

Calculated values
Space-group type: No. 12
N(E_F): 0.00 states/eV/f.u.
Size of the total moment: 0.000 μB per atom
Total DFT energy (no corrections): -0.229 Ha/atom

a = 6.1784 Å, b = 6.1784 Å, c = 6.6924 Å
α = 97.92°, β = 97.92°, γ = 119.99°
With the nearest neighbours (Å) after each atom.
Atoms (fractional coordinates):
O  0.3737  0.0462  0.6800  1 Pb 2.31, 2 Nd 2.37-2.42
Pb  0.0000  0.0000  0.5000  6 O 2.20-2.31
O  0.0462  0.3737  0.6800  1 Pb 2.31, 2 Nd 2.37-2.42
O  0.2489  0.2489  0.3191  1 Pb 2.20, 2 Nd 2.44
O  0.6263  0.9538  0.3200  1 Pb 2.31, 2 Nd 2.37-2.42
K  0.1607  0.8393  0.0000  6 O 2.79-3.04
K  0.8393  0.1607  0.0000  6 O 2.79-3.04
O  0.9538  0.6263  0.3200  1 Pb 2.31, 2 Nd 2.37-2.42
O  0.7511  0.7511  0.6809  1 Pb 2.20, 2 Nd 2.44
Nd  0.6654  0.3346  0.5000  6 O 2.37-2.44
Nd  0.3346  0.6654  0.5000  6 O 2.37-2.44

Record 2
TaSb2I: optimized geometry, PBE.

Calculated values
Space-group type: No. 225
N(E_F): 5.04 states/eV/f.u.
Size of the total moment: 0.000 μB per atom
Total DFT energy (no corrections): -0.169 Ha/atom

a = 5.1851 Å, b = 5.1851 Å, c = 5.1851 Å
α = 60.00°, β = 60.00°, γ = 60.00°
With the nearest neighbours (Å) after each atom.
Atoms (fractional coordinates):
Ta  0.5000  0.5000  0.5000  8 Sb 3.18
Sb  0.2500  0.2500  0.2500  4 Ta 3.18, 4 I 3.18
Sb  0.7500  0.7500  0.7500  4 Ta 3.18, 4 I 3.18
I  0.0000  0.0000  0.0000  8 Sb 3.18

Record 3
Ac3LaY6: optimized geometry, PBE.

Calculated values
Space-group type: No. 148
N(E_F): 25.13 states/eV/f.u.
ΔH_f (0 K): 4.07 eV/f.u.
Size of the total moment: 0.002 μB per atom

a = 10.1529 Å, b = 10.1529 Å, c = 7.2156 Å
α = 45.29°, β = 45.29°, γ = 60.00°
With the nearest neighbours (Å) after each atom.
Atoms (fractional coordinates):
Ac  0.6106  0.6106  0.1683  1 La 3.02, 1 Ac 3.29
Y  0.1056  0.4462  0.6722  2 Ac 3.41-3.60, 1 La 3.48
Y  0.4462  0.7760  0.6722  2 Ac 3.41-3.60, 1 La 3.48
La  0.8500  0.8500  0.4501  2 Ac 3.02
Ac  0.0892  0.0892  0.7324  1 La 3.02, 1 Ac 3.29
Ac  0.3498  0.3498  0.9506  2 Ac 3.29, 6 Y 3.60
Y  0.2541  0.9241  0.2273  2 Ac 3.41-3.60, 1 La 3.48
Y  0.7760  0.1056  0.6722  2 Ac 3.41-3.60, 1 La 3.48
Y  0.5944  0.2541  0.2273  2 Ac 3.41-3.60, 1 La 3.48
Y  0.9241  0.5944  0.2273  2 Ac 3.41-3.60, 1 La 3.48

Record 4
LiScBeH2: optimized geometry, PBE.

Calculated values
Space-group type: No. 123
N(E_F): 3.61 states/eV/f.u.
Size of the total moment: 0.075 μB per atom
Total DFT energy (no corrections): -0.108 Ha/atom

a = 3.6237 Å, b = 5.1157 Å, c = 3.6237 Å
α = 90.00°, β = 90.00°, γ = 90.00°
With the nearest neighbours (Å) after each atom.
Atoms (fractional coordinates):
H  0.0000  0.0000  0.5000  2 Li 1.81
Sc  0.0000  0.5000  0.0000  2 Li 2.56, 4 Be 2.56
Li  0.0000  0.0000  0.0000  4 H 1.81
Be  0.5000  0.5000  0.5000  4 Sc 2.56
H  0.5000  0.0000  0.0000  2 Li 1.81

Record 5
Hg4BiI4: optimized geometry, PBE.

Calculated values
Space-group type: No. 86
N(E_F): 2.70 states/eV/f.u.
Size of the total moment: 0.000 μB per atom
Total DFT energy (no corrections): -0.052 Ha/atom

a = 6.9693 Å, b = 9.8367 Å, c = 9.8367 Å
α = 90.00°, β = 90.00°, γ = 90.00°
With the nearest neighbours (Å) after each atom.
Atoms (fractional coordinates):
I  0.3657  0.7148  0.0004  3 Hg 3.10-3.16
Bi  0.5000  0.5000  0.5000  4 Hg 2.92
Hg  0.6902  0.7641  0.4994  1 Bi 2.92, 3 I 3.10-3.16
Hg  0.8098  0.2641  0.9994  1 Bi 2.92, 3 I 3.10-3.16
Hg  0.8098  0.7359  0.0006  1 Bi 2.92, 3 I 3.10-3.16
Hg  0.6902  0.2359  0.5006  1 Bi 2.92, 3 I 3.10-3.16
I  0.3657  0.2852  0.9996  3 Hg 3.10-3.16
Hg  0.1902  0.9994  0.7359  1 Bi 2.92, 3 I 3.10-3.16
I  0.6343  0.0004  0.2852  3 Hg 3.10-3.16
I  0.8657  0.5004  0.7852  3 Hg 3.10-3.16
I  0.1343  0.7852  0.4996  3 Hg 3.10-3.16
I  0.8657  0.4996  0.2148  3 Hg 3.10-3.16
I  0.1343  0.2148  0.5004  3 Hg 3.10-3.16
Hg  0.1902  0.0006  0.2641  1 Bi 2.92, 3 I 3.10-3.16
Bi  0.0000  0.0000  0.0000  4 Hg 2.92
Hg  0.3098  0.4994  0.2359  1 Bi 2.92, 3 I 3.10-3.16
Hg  0.3098  0.5006  0.7641  1 Bi 2.92, 3 I 3.10-3.16
I  0.6343  0.9996  0.7148  3 Hg 3.10-3.16

Record 6
YZr2ScN: optimized geometry, PBE.

Calculated values
Space-group type: No. 123
Excess energy over the best structure of this formula in the dataset: 54.2 meV/atom
N(E_F): 5.86 states/eV/f.u.
Size of the total moment: 0.000 μB per atom

a = 4.6756 Å, b = 4.6756 Å, c = 4.5772 Å
α = 90.00°, β = 90.00°, γ = 90.00°
With the nearest neighbours (Å) after each atom.
Atoms (fractional coordinates):
Zr  0.0000  0.5000  0.0000  2 N 2.34
Sc  0.0000  0.0000  0.5000  2 N 2.29
N  0.0000  0.0000  0.0000  2 Sc 2.29, 4 Zr 2.34
Zr  0.5000  0.0000  0.0000  2 N 2.34
Y  0.5000  0.5000  0.5000  8 Zr 3.27, 4 Sc 3.31

Record 7
Zr2TlIn: optimized geometry, PBE.

Calculated values
Space-group type: No. 25
Excess energy over the best structure of this formula in the dataset: 167.7 meV/atom
N(E_F): 3.07 states/eV/f.u.
ΔH_f (0 K): -0.10 eV/f.u.
Size of the total moment: 0.000 μB per atom

a = 3.4880 Å, b = 4.2697 Å, c = 6.3569 Å
α = 90.00°, β = 90.00°, γ = 90.00°
With the nearest neighbours (Å) after each atom.
Atoms (fractional coordinates):
Tl  0.5000  0.5000  0.7521  6 Zr 3.15-3.21, 4 In 3.22, 2 Tl 3.49
In  0.0000  0.0000  0.4917  6 Zr 3.07-3.29, 4 Tl 3.22
Zr  0.5000  0.5000  0.2474  6 Zr 3.15-3.49, 2 Tl 3.15-3.21, 4 In 3.16
Zr  0.0000  0.0000  0.0088  2 In 3.07-3.29, 4 Zr 3.15, 4 Tl 3.20

Record 8
NaPmSm2: optimized geometry, PBE.

Calculated values
Space-group type: No. 160
Excess energy over the best structure of this formula in the dataset: 0.0 meV/atom
N(E_F): 4.77 states/eV/f.u.
ΔH_f (0 K): 0.45 eV/f.u.
Size of the total moment: 0.000 μB per atom

a = 3.6282 Å, b = 3.6282 Å, c = 12.3967 Å
α = 81.59°, β = 81.59°, γ = 60.00°
With the nearest neighbours (Å) after each atom.
Atoms (fractional coordinates):
Sm  0.0868  0.0868  0.7395  3 Pm 3.60, 6 Sm 3.63, 3 Na 3.81
Pm  0.5000  0.5000  0.5001  6 Sm 3.60, 6 Pm 3.63
Na  0.6667  0.6667  0.9999  6 Na 3.63, 6 Sm 3.81
Sm  0.2465  0.2465  0.2605  3 Pm 3.60, 6 Sm 3.63, 3 Na 3.81

Record 9
CsBiB3: optimized geometry, PBE.

Calculated values
Space-group type: No. 221
Excess energy over the best structure of this formula in the dataset: 0.0 meV/atom
N(E_F): 4.81 states/eV/f.u.
ΔH_f (0 K): 10.76 eV/f.u.
Size of the total moment: 0.000 μB per atom

a = 5.0882 Å, b = 5.0882 Å, c = 5.0882 Å
α = 90.00°, β = 90.00°, γ = 90.00°
With the nearest neighbours (Å) after each atom.
Atoms (fractional coordinates):
Cs  0.5000  0.5000  0.5000  12 B 3.60
B  0.5000  0.0000  0.0000  2 Bi 2.54
B  0.0000  0.5000  0.0000  2 Bi 2.54
B  0.0000  0.0000  0.5000  2 Bi 2.54
Bi  0.0000  0.0000  0.0000  6 B 2.54

Record 10
Tb2Ga4NiRh3: optimized geometry, PBE.

Calculated values
Space-group type: No. 115
N(E_F): 4.61 states/eV/f.u.
ΔH_f (0 K): -7.33 eV/f.u.
Size of the total moment: 0.000 μB per atom

a = 4.1322 Å, b = 4.1322 Å, c = 10.4444 Å
α = 90.00°, β = 90.00°, γ = 90.00°
With the nearest neighbours (Å) after each atom.
Atoms (fractional coordinates):
Tb  0.5000  0.0000  0.2583  8 Ga 3.16-3.40, 6 Rh 3.18-3.26, 2 Ni 3.26
Ni  0.5000  0.5000  0.5000  4 Ga 2.45
Ga  0.0000  0.5000  0.3742  2 Ni 2.45, 3 Rh 2.45-2.46
Ga  0.5000  0.0000  0.6258  2 Ni 2.45, 3 Rh 2.45-2.46
Rh  0.5000  0.0000  0.8616  5 Ga 2.46-2.52
Rh  0.0000  0.0000  0.5000  4 Ga 2.45
Rh  0.0000  0.5000  0.1384  5 Ga 2.46-2.52
Tb  0.0000  0.5000  0.7417  8 Ga 3.16-3.40, 6 Rh 3.18-3.26, 2 Ni 3.26
Ga  0.0000  0.0000  0.0000  4 Rh 2.52
Ga  0.5000  0.5000  0.0000  4 Rh 2.52

Record 11
SrHf2Ni2: optimized geometry, PBE.

Calculated values
Space-group type: No. 139
Excess energy over the best structure of this formula in the dataset: 0.0 meV/atom
N(E_F): 3.64 states/eV/f.u.
ΔH_f (0 K): -0.59 eV/f.u.
Size of the total moment: 0.000 μB per atom

a = 4.4856 Å, b = 4.4856 Å, c = 6.1754 Å
α = 68.70°, β = 68.70°, γ = 90.00°
With the nearest neighbours (Å) after each atom.
Atoms (fractional coordinates):
Hf  0.7500  0.2500  0.5000  4 Ni 2.62
Ni  0.3786  0.3786  0.2427  1 Ni 2.57, 4 Hf 2.62
Sr  0.0000  0.0000  0.0000  8 Ni 3.42, 8 Hf 3.47
Hf  0.2500  0.7500  0.5000  4 Ni 2.62
Ni  0.6214  0.6214  0.7573  1 Ni 2.57, 4 Hf 2.62

Record 12
NdNb2O6: optimized geometry, PBE.

Calculated values
Space-group type: No. 139
N(E_F): 1.62 states/eV/f.u.
Size of the total moment: 0.000 μB per atom
Total DFT energy (no corrections): -0.318 Ha/atom

a = 4.3045 Å, b = 4.3047 Å, c = 7.2254 Å
α = 107.33°, β = 107.33°, γ = 90.00°
With the nearest neighbours (Å) after each atom.
Atoms (fractional coordinates):
Nb  0.2500  0.2500  0.5000  2 O 1.90
O  0.3952  0.3953  0.7904  1 Nb 1.90
O  0.8952  0.8954  0.7904  1 Nb 1.90
O  0.1048  0.1046  0.2096  1 Nb 1.90
O  0.2451  0.7451  0.4903  4 Nb 2.15
Nb  0.7500  0.7500  0.5000  2 O 1.90
Nd  0.0000  0.5000  0.0000  8 O 2.55
O  0.6048  0.6047  0.2096  1 Nb 1.90
O  0.7549  0.2549  0.5097  4 Nb 2.15

The lowest N(E_F) belongs to which entry?
K2Nd2PbO6